1.
# Na4CdF2

Crystalline Na4CdF2 at its relaxed geometry (PBE, Alexandria).

## Properties
Calculated volume ... 208.3 Å³ per cell
E_form (uncorrected) ... -964 meV per atom
VASP energy ... -2.383 eV/atom

The structure in POSCAR format:
```
Na4CdF2
1.0
-2.7927 2.7927 6.6758
2.7927 -2.7927 6.6758
2.7927 2.7927 -6.6758
Na Cd F
4 1 2
Cartesian
2.7927 0.0000 0.0000 Na
0.0000 0.0000 3.2309 Na
0.0000 2.7927 0.0000 Na
0.0000 0.0000 10.1206 Na
0.0000 0.0000 0.0000 Cd
0.0000 0.0000 5.2985 F
0.0000 0.0000 8.0530 F
```

2.
# NaCdF2

Crystalline NaCdF2 at its relaxed geometry (PBE, Alexandria).

## Properties
Energy above the most stable polymorph in this dataset ... 34 meV/atom
Calculated volume ... 67.5 Å³ per cell
E_form (uncorrected) ... -1994 meV per atom
VASP energy ... -3.488 eV/atom

The structure in POSCAR format:
```
NaCdF2
1.0
1.6741 0.9665 6.9513
-1.6741 0.9665 6.9513
0.0000 -1.9331 6.9513
Na Cd F
1 1 2
Cartesian
0.0000 0.0000 0.0000 Na
0.0000 0.0000 10.4269 Cd
0.0000 0.0000 8.2261 F
0.0000 0.0000 12.6277 F
```

3.
# NaCdF2

Crystalline NaCdF2 at its relaxed geometry (PBE, Alexandria).

## Properties
Energy above the most stable polymorph in this dataset ... 275 meV/atom
Calculated volume ... 59.2 Å³ per cell
E_form (uncorrected) ... -1752 meV per atom
VASP energy ... -3.247 eV/atom

The structure in POSCAR format:
```
NaCdF2
1.0
0.0000 3.0931 3.0931
3.0931 0.0000 3.0931
3.0931 3.0931 0.0000
Na Cd F
1 1 2
Cartesian
0.0000 0.0000 0.0000 Na
3.0931 3.0931 3.0931 Cd
1.5465 1.5465 1.5465 F
4.6396 4.6396 4.6396 F
```

4.
# NaCdF2

Crystalline NaCdF2 at its relaxed geometry (PBE, Alexandria).

## Properties
Energy above the most stable polymorph in this dataset ... 7 meV/atom
Calculated volume ... 58.8 Å³ per cell
E_form (uncorrected) ... -2020 meV per atom
VASP energy ... -3.514 eV/atom

The structure in POSCAR format:
```
NaCdF2
1.0
1.6287 0.9404 6.3960
-1.6287 0.9404 6.3960
0.0000 -1.8807 6.3960
Na Cd F
1 1 2
Cartesian
0.0000 0.0000 0.0000 Na
0.0000 0.0000 3.2294 Cd
0.0000 0.0000 7.7846 F
0.0000 0.0000 11.4435 F
```

5.
# Na5CdF8

Crystalline Na5CdF8 at its relaxed geometry (PBE, Alexandria).

## Properties
Calculated volume ... 177.4 Å³ per cell
E_form (uncorrected) ... -2384 meV per atom
VASP energy ... -3.990 eV/atom

The structure in POSCAR format:
```
Na5CdF8
1.0
-3.5235 3.5235 3.5728
3.5235 -3.5235 3.5728
3.5235 3.5235 -3.5728
Na Cd F
5 1 8
Cartesian
0.0000 0.0000 0.0000 Na
1.7615 2.7532 -0.9285 Na
4.2937 1.7615 0.9285 Na
1.7620 0.7703 2.6444 Na
-0.7703 1.7620 4.5013 Na
0.0000 3.5235 1.7864 Cd
2.2957 0.4152 0.3813 F
3.9329 2.1620 -1.3684 F
3.1083 -1.2277 3.1915 F
-0.4094 1.3615 2.2045 F
0.4152 4.7512 -0.3813 F
2.1620 3.1141 1.3684 F
1.3615 0.4094 4.9412 F
1.2277 3.1083 3.9542 F
```

6.
# NaCd2F6

Crystalline NaCd2F6 at its relaxed geometry (PBE, Alexandria).

## Properties
Energy above the most stable polymorph in this dataset ... 9 meV/atom
Calculated volume ... 288.5 Å³ per cell
E_form (uncorrected) ... -2034 meV per atom
VASP energy ... -3.631 eV/atom

The structure in POSCAR format:
```
NaCd2F6
1.0
5.9249 0.0000 0.0000
0.0000 5.0932 0.0000
-5.7284 0.0000 9.5601
Na Cd F
2 4 12
Cartesian
0.0000 0.0000 0.0000 Na
-2.8642 2.5466 4.7800 Na
-2.8012 0.0119 7.7967 Cd
0.0630 2.5347 3.0166 Cd
0.1334 2.5585 6.5435 Cd
2.9976 5.0813 1.7634 Cd
-1.8399 3.7282 3.0870 F
-4.7041 3.9116 7.8670 F
2.0373 1.0114 0.0163 F
-0.8269 1.5352 4.7963 F
-1.7673 3.7531 6.4441 F
1.0969 3.8867 1.6641 F
-0.9005 1.2065 7.8960 F
1.9637 1.3401 3.1159 F
1.0234 3.5580 4.7638 F
-1.8408 4.0818 9.5438 F
4.9006 1.1816 1.6931 F
2.0364 1.3650 6.4731 F
```